[1]
First-principles (PBE-GGA) data for a relaxed Ta3TcI crystal, as listed in the Alexandria database.

POSCAR file:
```
Ta3TcI
1.0
4.8916 0.0000 0.0000
0.0000 4.8916 0.0000
0.0000 0.0000 4.8916
Ta Tc I
3 1 1
direct
0.0000 0.0000 0.5000
0.0000 0.5000 0.0000
0.5000 0.0000 0.0000
0.0000 0.0000 0.0000
0.5000 0.5000 0.5000
```

Crystal system: cubic
Excess energy over the best structure of this formula in the dataset, meV/atom: 0.0

***

[2]
First-principles (PBE-GGA) data for a relaxed TaVTc2I crystal, as listed in the Alexandria database.

POSCAR file:
```
TaVTc2I
1.0
4.5865 0.0000 0.0000
0.0000 4.5865 0.0000
0.0000 0.0000 4.7515
Ta V Tc I
1 1 2 1
direct
0.0000 0.0000 0.0000
0.0000 0.0000 0.5000
0.0000 0.5000 0.5000
0.5000 0.0000 0.5000
0.5000 0.5000 0.0000
```

Crystal system: tetragonal

***

[3]
First-principles (PBE-GGA) data for a relaxed TaTeI2 crystal, as listed in the Alexandria database.

POSCAR file:
```
TaTeI2
1.0
-5.1448 5.1448 2.6965
5.1448 -5.1448 2.6965
5.1448 5.1448 -2.6965
Ta Te I
2 2 4
direct
0.0000 0.0000 0.0000
0.7500 0.2500 0.5000
0.2500 0.7500 0.5000
0.5000 0.5000 0.0000
0.3750 0.2374 0.3624
0.7626 0.1250 0.1376
0.8750 0.0126 0.6376
0.9874 0.6250 0.8624
```

Crystal system: tetragonal
Excess energy over the best structure of this formula in the dataset, meV/atom: 0.0

***

[4]
First-principles (PBE-GGA) data for a relaxed Ta3TeI crystal, as listed in the Alexandria database.

POSCAR file:
```
Ta3TeI
1.0
5.0890 0.0000 0.0000
0.0000 5.0890 0.0000
0.0000 0.0000 5.0890
Ta Te I
3 1 1
direct
0.0000 0.0000 0.5000
0.0000 0.5000 0.0000
0.5000 0.0000 0.0000
0.0000 0.0000 0.0000
0.5000 0.5000 0.5000
```

Crystal system: cubic
Excess energy over the best structure of this formula in the dataset, meV/atom: 0.0

***

[5]
First-principles (PBE-GGA) data for a relaxed Ta2TeI crystal, as listed in the Alexandria database.

POSCAR file:
```
Ta2TeI
1.0
0.0000 3.4287 3.4287
3.4287 0.0000 3.4287
3.4287 3.4287 0.0000
Ta Te I
2 1 1
direct
0.2500 0.2500 0.2500
0.7500 0.7500 0.7500
0.0000 0.0000 0.0000
0.5000 0.5000 0.5000
```

Crystal system: cubic
Excess energy over the best structure of this formula in the dataset, meV/atom: 0.0

***

[6]
First-principles (PBE-GGA) data for a relaxed TaTe3I crystal, as listed in the Alexandria database.

POSCAR file:
```
TaTe3I
1.0
5.3319 0.0000 0.0000
-0.1682 8.2609 0.0000
-0.5269 -4.1407 9.5163
Ta Te I
2 6 2
direct
0.2296 0.2900 0.3412
0.7704 0.7100 0.6588
0.1932 0.1571 0.0553
0.2245 0.0015 0.3738
0.2620 0.6017 0.5984
0.7380 0.3983 0.4016
0.7755 0.9985 0.6262
0.8068 0.8429 0.9447
0.2227 0.5387 0.1813
0.7773 0.4613 0.8187
```

Crystal system: triclinic
Excess energy over the best structure of this formula in the dataset, meV/atom: 0.0

***

[7]
First-principles (PBE-GGA) data for a relaxed Ta7Te24I10 crystal, as listed in the Alexandria database.

POSCAR file:
```
Ta7Te24I10
1.0
6.8770 0.0000 0.0000
-1.6702 8.0232 0.0000
-0.1619 -3.3429 27.3873
Ta Te I
7 24 10
direct
0.0000 0.0000 0.0000
0.1100 0.4377 0.2147
0.2502 0.9993 0.5001
0.3899 0.5637 0.7855
0.6101 0.4363 0.2145
0.7498 0.0007 0.4999
0.8900 0.5623 0.7853
0.0058 0.0174 0.5841
0.0675 0.2761 0.4839
0.0794 0.3160 0.7337
0.0918 0.3578 0.8376
0.1873 0.7638 0.7322
0.2017 0.8187 0.8344
0.2924 0.1608 0.2305
0.3557 0.4303 0.1304
0.3668 0.4561 0.2985
0.4274 0.7142 0.2001
0.4388 0.7507 0.4488
0.4522 0.7955 0.5524
0.5478 0.2045 0.4476
0.5612 0.2493 0.5512
0.5726 0.2858 0.7999
0.6332 0.5439 0.7015
0.6443 0.5697 0.8696
0.7076 0.8392 0.7695
0.7983 0.1813 0.1656
0.8127 0.2362 0.2678
0.9082 0.6422 0.1624
0.9206 0.6840 0.2663
0.9325 0.7239 0.5161
0.9942 0.9826 0.4159
0.1027 0.4221 0.6252
0.1656 0.7415 0.9544
0.2409 0.0124 0.0824
0.2882 0.2320 0.9636
0.4613 0.8512 0.3372
0.5387 0.1488 0.6628
0.7118 0.7680 0.0364
0.7591 0.9876 0.9176
0.8344 0.2585 0.0456
0.8973 0.5779 0.3748
```

Crystal system: triclinic

***

[8]
First-principles (PBE-GGA) data for a relaxed TaTe3I crystal, as listed in the Alexandria database.

POSCAR file:
```
TaTe3I
1.0
5.4290 0.0000 0.0000
0.0000 5.4290 0.0000
0.0000 0.0000 5.4290
Ta Te I
1 3 1
direct
0.0000 0.0000 0.0000
0.0000 0.0000 0.5000
0.0000 0.5000 0.0000
0.5000 0.0000 0.0000
0.5000 0.5000 0.5000
```

Crystal system: cubic
Excess energy over the best structure of this formula in the dataset, meV/atom: 191.2

***

[9]
First-principles (PBE-GGA) data for a relaxed TaTe2I5 crystal, as listed in the Alexandria database.

POSCAR file:
```
TaTe2I5
1.0
8.1760 0.0000 0.0000
-3.7979 7.2425 0.0000
-1.9412 -3.7646 7.0116
Ta Te I
1 2 5
direct
0.0000 0.0000 0.0000
0.1962 0.6959 0.5001
0.5031 0.0024 0.4994
0.2634 0.8880 0.9902
0.2647 0.2688 0.3744
0.6921 0.6919 0.0002
0.8945 0.8904 0.6254
0.8974 0.2728 0.0097
```

Crystal system: triclinic

***

[10]
First-principles (PBE-GGA) data for a relaxed TaTe3I crystal, as listed in the Alexandria database.

POSCAR file:
```
TaTe3I
1.0
5.7099 0.0000 0.0000
0.0000 5.7099 0.0000
0.0000 0.0000 5.7099
Ta Te I
1 3 1
direct
0.0000 0.0000 0.0000
0.0000 0.5000 0.5000
0.5000 0.0000 0.5000
0.5000 0.5000 0.0000
0.5000 0.5000 0.5000
```

Crystal system: cubic
Excess energy over the best structure of this formula in the dataset, meV/atom: 1716.8

***

[11]
First-principles (PBE-GGA) data for a relaxed Ta2TeI crystal, as listed in the Alexandria database.

POSCAR file:
```
Ta2TeI
1.0
-3.8232 3.8232 3.3311
3.8232 -3.8232 3.3311
3.8232 3.8232 -3.3311
Ta Te I
4 2 2
direct
0.1122 0.1250 0.4872
0.3750 0.8878 0.0128
0.6378 0.6250 0.5128
0.8750 0.3622 0.9872
0.0000 0.0000 0.0000
0.7500 0.2500 0.5000
0.2500 0.7500 0.5000
0.5000 0.5000 0.0000
```

Crystal system: tetragonal
Excess energy over the best structure of this formula in the dataset, meV/atom: 576.6

***

[12]
First-principles (PBE-GGA) data for a relaxed TaTeI2 crystal, as listed in the Alexandria database.

POSCAR file:
```
TaTeI2
1.0
0.0000 3.7004 3.7004
3.7004 0.0000 3.7004
3.7004 3.7004 0.0000
Ta Te I
1 1 2
direct
0.0000 0.0000 0.0000
0.5000 0.5000 0.5000
0.2500 0.2500 0.2500
0.7500 0.7500 0.7500
```

Crystal system: cubic
Excess energy over the best structure of this formula in the dataset, meV/atom: 823.5

***

[13]
First-principles (PBE-GGA) data for a relaxed Th2TaTe2I4 crystal, as listed in the Alexandria database.

POSCAR file:
```
Th2TaTe2I4
1.0
3.8911 0.0000 0.0000
-1.9456 3.3698 0.0000
0.0000 0.0000 25.0661
Th Ta Te I
2 1 2 4
direct
0.0000 0.0000 0.0000
0.3333 0.6667 0.3471
0.3333 0.6667 0.6870
0.0000 0.0000 0.6166
0.0000 0.0000 0.7574
0.0000 0.0000 0.2551
0.0000 0.0000 0.4387
0.3333 0.6667 0.0920
0.3333 0.6667 0.9085
```

Crystal system: trigonal

***

[14]
First-principles (PBE-GGA) data for a relaxed TaTiTe2I crystal, as listed in the Alexandria database.

POSCAR file:
```
TaTiTe2I
1.0
5.4361 0.0000 0.0000
0.0000 5.4361 0.0000
0.0000 0.0000 5.4325
Ta Ti Te I
1 1 2 1
direct
0.0000 0.0000 0.0000
0.5000 0.5000 0.5000
0.0000 0.5000 0.0000
0.5000 0.0000 0.0000
0.0000 0.0000 0.5000
```

Crystal system: tetragonal
Excess energy over the best structure of this formula in the dataset, meV/atom: 0.0

***

[15]
First-principles (PBE-GGA) data for a relaxed TaVTeI2 crystal, as listed in the Alexandria database.

POSCAR file:
```
TaVTeI2
1.0
5.3181 0.0000 0.0000
0.0000 5.3181 0.0000
0.0000 0.0000 5.4011
Ta V Te I
1 1 1 2
direct
0.0000 0.0000 0.0000
0.5000 0.5000 0.5000
0.5000 0.5000 0.0000
0.0000 0.5000 0.5000
0.5000 0.0000 0.5000
```

Crystal system: tetragonal
Excess energy over the best structure of this formula in the dataset, meV/atom: 0.0

***

[16]
First-principles (PBE-GGA) data for a relaxed TaTeWI2 crystal, as listed in the Alexandria database.

POSCAR file:
```
TaTeWI2
1.0
5.4989 0.0000 0.0000
0.0000 5.4989 0.0000
0.0000 0.0000 5.4757
Ta Te W I
1 1 1 2
direct
0.0000 0.0000 0.0000
0.0000 0.0000 0.5000
0.5000 0.5000 0.5000
0.0000 0.5000 0.0000
0.5000 0.0000 0.0000
```

Crystal system: tetragonal
Excess energy over the best structure of this formula in the dataset, meV/atom: 0.0

***

[17]
First-principles (PBE-GGA) data for a relaxed TaTe2WI crystal, as listed in the Alexandria database.

POSCAR file:
```
TaTe2WI
1.0
5.4256 0.0000 0.0000
0.0000 5.4256 0.0000
0.0000 0.0000 5.4694
Ta Te W I
1 2 1 1
direct
0.0000 0.0000 0.0000
0.0000 0.5000 0.0000
0.5000 0.0000 0.0000
0.5000 0.5000 0.5000
0.0000 0.0000 0.5000
```

Crystal system: tetragonal
Excess energy over the best structure of this formula in the dataset, meV/atom: 0.0

***

[18]
First-principles (PBE-GGA) data for a relaxed ZrTaTeI2 crystal, as listed in the Alexandria database.

POSCAR file:
```
ZrTaTeI2
1.0
5.4609 0.0000 0.0000
0.0000 5.4609 0.0000
0.0000 0.0000 5.4665
Zr Ta Te I
1 1 1 2
direct
0.0000 0.0000 0.0000
0.5000 0.5000 0.5000
0.5000 0.5000 0.0000
0.0000 0.5000 0.5000
0.5000 0.0000 0.5000
```

Crystal system: tetragonal
Excess energy over the best structure of this formula in the dataset, meV/atom: 0.0

***

[19]
First-principles (PBE-GGA) data for a relaxed ZrTaTe2I crystal, as listed in the Alexandria database.

POSCAR file:
```
ZrTaTe2I
1.0
5.4192 0.0000 0.0000
0.0000 5.4192 0.0000
0.0000 0.0000 5.4137
Zr Ta Te I
1 1 2 1
direct
0.0000 0.0000 0.0000
0.5000 0.5000 0.5000
0.0000 0.5000 0.5000
0.5000 0.0000 0.5000
0.5000 0.5000 0.0000
```

Crystal system: tetragonal
Excess energy over the best structure of this formula in the dataset, meV/atom: 0.0

***

[20]
First-principles (PBE-GGA) data for a relaxed TaTiI crystal, as listed in the Alexandria database.

POSCAR file:
```
TaTiI
1.0
3.4901 0.0000 0.0000
0.0004 3.4901 0.0000
0.0954 0.0434 11.4033
Ta Ti I
2 2 2
direct
0.2481 0.2491 0.0651
0.7519 0.7509 0.9349
0.2562 0.2524 0.8058
0.7438 0.7476 0.1942
0.2400 0.2457 0.3364
0.7600 0.7543 0.6636
```

Crystal system: triclinic

***

[21]
First-principles (PBE-GGA) data for a relaxed TaTiI3 crystal, as listed in the Alexandria database.

POSCAR file:
```
TaTiI3
1.0
5.5810 0.0000 0.0000
0.0000 5.5810 0.0000
0.0000 0.0000 5.5810
Ta Ti I
1 1 3
direct
0.0000 0.0000 0.0000
0.5000 0.5000 0.5000
0.0000 0.0000 0.5000
0.0000 0.5000 0.0000
0.5000 0.0000 0.0000
```

Crystal system: cubic
Excess energy over the best structure of this formula in the dataset, meV/atom: 0.0

***

[22]
First-principles (PBE-GGA) data for a relaxed TaTi2I crystal, as listed in the Alexandria database.

POSCAR file:
```
TaTi2I
1.0
-2.0631 2.0631 9.5273
2.0631 -2.0631 9.5273
2.0631 2.0631 -9.5273
Ta Ti I
2 4 2
direct
0.0000 0.0000 0.0000
0.7500 0.2500 0.5000
0.1281 0.6250 0.0031
0.3750 0.3781 0.5031
0.6219 0.1250 0.9969
0.8750 0.8719 0.4969
0.2500 0.7500 0.5000
0.5000 0.5000 0.0000
```

Crystal system: tetragonal
Excess energy over the best structure of this formula in the dataset, meV/atom: 251.0

***

[23]
First-principles (PBE-GGA) data for a relaxed TaTi2I crystal, as listed in the Alexandria database.

POSCAR file:
```
TaTi2I
1.0
0.0000 3.3273 3.3273
3.3273 0.0000 3.3273
3.3273 3.3273 0.0000
Ta Ti I
1 2 1
direct
0.0000 0.0000 0.0000
0.2500 0.2500 0.2500
0.7500 0.7500 0.7500
0.5000 0.5000 0.5000
```

Crystal system: cubic
Excess energy over the best structure of this formula in the dataset, meV/atom: 0.0

***

[24]
First-principles (PBE-GGA) data for a relaxed TaTiTlI2 crystal, as listed in the Alexandria database.

POSCAR file:
```
TaTiTlI2
1.0
6.1110 0.0000 0.0000
0.0000 6.1110 0.0000
0.0000 0.0000 5.4379
Ta Ti Tl I
1 1 1 2
direct
0.0000 0.0000 0.0000
0.5000 0.5000 0.0000
0.5000 0.5000 0.5000
0.0000 0.5000 0.5000
0.5000 0.0000 0.5000
```

Crystal system: tetragonal

***

[25]
First-principles (PBE-GGA) data for a relaxed YTa2TiI crystal, as listed in the Alexandria database.

POSCAR file:
```
YTa2TiI
1.0
5.0370 0.0000 0.0000
0.0000 5.0370 0.0000
0.0000 0.0000 5.5563
Y Ta Ti I
1 2 1 1
direct
0.0000 0.0000 0.0000
0.0000 0.5000 0.0000
0.5000 0.0000 0.0000
0.5000 0.5000 0.5000
0.0000 0.0000 0.5000
```

Crystal system: tetragonal

***

[26]
First-principles (PBE-GGA) data for a relaxed TaTlI3 crystal, as listed in the Alexandria database.

POSCAR file:
```
TaTlI3
1.0
5.7692 0.0000 0.0000
0.0000 5.7692 0.0000
0.0000 0.0000 5.7692
Ta Tl I
1 1 3
direct
0.0000 0.0000 0.0000
0.5000 0.5000 0.5000
0.0000 0.0000 0.5000
0.0000 0.5000 0.0000
0.5000 0.0000 0.0000
```

Crystal system: cubic
Excess energy over the best structure of this formula in the dataset, meV/atom: 0.0

***

| no. | DOS at the Fermi energy (states/eV per atom) | raw formation energy (eV/atom) |
| --- | --- | --- |
| 1 | 1.169 | 1.32 |
| 2 | 1.158 | 1.44 |
| 3 | 0.132 | 0.08 |
| 4 | 0.546 | 1.90 |
| 5 | 1.244 | 0.60 |
| 6 | 0.041 | -0.04 |
| 7 | 0.211 | -0.30 |
| 8 | 1.216 | 0.15 |
| 9 | 0.485 | -0.16 |
| 10 | 1.010 | 1.68 |
| 11 | 1.066 | 1.17 |
| 12 | 0.688 | 0.90 |
| 13 | 0.492 | -0.78 |
| 14 | 2.588 | 0.77 |
| 15 | 1.043 | 1.01 |
| 16 | 0.714 | 1.47 |
| 17 | 0.749 | 1.40 |
| 18 | 1.567 | 0.77 |
| 19 | 1.470 | 0.64 |
| 20 | 0.650 | -0.20 |
| 21 | 1.632 | 0.83 |
| 22 | 1.149 | 0.76 |
| 23 | 1.000 | 0.51 |
| 24 | 2.469 | 1.82 |
| 25 | 2.472 | 2.21 |
| 26 | 0.718 | 0.09 |